# CaGa2Pd7, optimized geometry, DFT GGA-PBE
# V (Å³/cell): 407.05
# DFT formation energy (meV per atom): -198
# Total DFT energy (no corrections) (eV per atom): -4.64
data_CaGa2Pd7
_cell_length_a 7.289
_cell_length_b 12.231
_cell_length_c 4.566
_cell_angle_alpha 90.00
_cell_angle_beta 90.00
_cell_angle_gamma 90.00
_space_group_name_H-M_alt 'C m m m'
_space_group_IT_number 65
_space_group_name_Hall '-C 2 2'
loop_
_atom_site_label
_atom_site_fract_x
_atom_site_fract_y
_atom_site_fract_z
_atom_site_occupancy
Ca1 0.000 0.000 0.000 1
Ga1 0.000 0.300 0.500 1
Pd1 0.000 0.229 0.000 1
Pd2 0.000 0.500 0.500 1
Pd3 0.188 0.122 0.500 1

---

# RbGaGe, optimized geometry, DFT GGA-PBE
# V (Å³/cell): 198.25
# DFT formation energy (meV per atom): -94
# Total DFT energy (no corrections) (eV per atom): -2.96
data_RbGaGe
_cell_length_a 4.365
_cell_length_b 7.200
_cell_length_c 7.211
_cell_angle_alpha 110.03
_cell_angle_beta 102.73
_cell_angle_gamma 101.39
_space_group_name_H-M_alt 'P 1'
_space_group_IT_number 1
loop_
_space_group_symop_operation_xyz
'x,y,z'
loop_
_atom_site_label
_atom_site_fract_x
_atom_site_fract_y
_atom_site_fract_z
_atom_site_occupancy
Rb1 0.000 0.000 0.000 1
Rb2 0.485 0.358 0.643 1
Ga1 0.252 0.590 0.125 1
Ga2 0.759 0.483 0.241 1
Ge1 0.238 0.771 0.540 1
Ge2 0.729 0.898 0.402 1

---

# Re3RuN, optimized geometry, DFT GGA-PBE
# V (Å³/cell): 99.88
# Total DFT energy (no corrections) (eV per atom): -7.58
# E above lowest polymorph (meV per atom): 3146
data_Re3RuN
_cell_length_a 4.640
_cell_length_b 4.640
_cell_length_c 4.640
_cell_angle_alpha 90.00
_cell_angle_beta 90.00
_cell_angle_gamma 90.00
_space_group_name_H-M_alt 'P m -3 m'
_space_group_IT_number 221
_space_group_name_Hall '-P 4 2 3'
loop_
_atom_site_label
_atom_site_fract_x
_atom_site_fract_y
_atom_site_fract_z
_atom_site_occupancy
Re1 0.000 0.000 0.500 1
Ru1 0.000 0.000 0.000 1
N1 0.500 0.500 0.500 1

---

# NdPuOs, optimized geometry, DFT GGA-PBE
# V (Å³/cell): 318.44
# DFT formation energy (meV per atom): 108
# Total DFT energy (no corrections) (eV per atom): -10.00
# E above lowest polymorph (meV per atom): 185
data_NdPuOs
_cell_length_a 6.829
_cell_length_b 6.829
_cell_length_c 6.829
_cell_angle_alpha 90.00
_cell_angle_beta 90.00
_cell_angle_gamma 90.00
_space_group_name_H-M_alt 'F -4 3 m'
_space_group_IT_number 216
_space_group_name_Hall 'F -4 2 3'
loop_
_atom_site_label
_atom_site_fract_x
_atom_site_fract_y
_atom_site_fract_z
_atom_site_occupancy
Nd1 0.000 0.000 0.000 1
Pu1 0.000 0.000 0.500 1
Os1 0.250 0.250 0.750 1

---

# BeAuCl2, optimized geometry, DFT GGA-PBE
# V (Å³/cell): 213.49
# Total DFT energy (no corrections) (eV per atom): -3.06
# E above lowest polymorph (meV per atom): 245
data_BeAuCl2
_cell_length_a 2.935
_cell_length_b 7.842
_cell_length_c 9.278
_cell_angle_alpha 90.00
_cell_angle_beta 90.00
_cell_angle_gamma 90.00
_space_group_name_H-M_alt 'I m m 2'
_space_group_IT_number 44
loop_
_space_group_symop_operation_xyz
'x,y,z'
'-x,-y,z'
'-x,y,z'
'x,-y,z'
'x+1/2,y+1/2,z+1/2'
'-x+1/2,-y+1/2,z+1/2'
'-x+1/2,y+1/2,z+1/2'
'x+1/2,-y+1/2,z+1/2'
loop_
_atom_site_label
_atom_site_fract_x
_atom_site_fract_y
_atom_site_fract_z
_atom_site_occupancy
Be1 0.000 0.000 0.000 1
Au1 0.000 0.500 0.296 1
Cl1 0.000 0.000 0.561 1
Cl2 0.000 0.500 0.647 1

---

# SrTeAs2Br, optimized geometry, DFT GGA-PBE
# V (Å³/cell): 200.77
# Total DFT energy (no corrections) (eV per atom): -2.70
# E above lowest polymorph (meV per atom): 558
data_SrTeAs2Br
_cell_length_a 6.026
_cell_length_b 6.026
_cell_length_c 5.530
_cell_angle_alpha 90.00
_cell_angle_beta 90.00
_cell_angle_gamma 90.00
_space_group_name_H-M_alt 'P 4/m m m'
_space_group_IT_number 123
_space_group_name_Hall '-P 4 2'
loop_
_atom_site_label
_atom_site_fract_x
_atom_site_fract_y
_atom_site_fract_z
_atom_site_occupancy
Sr1 0.000 0.000 0.000 1
Te1 0.500 0.500 0.500 1
As1 0.000 0.500 0.000 1
Br1 0.000 0.000 0.500 1

---

# LaIn2Co, optimized geometry, DFT GGA-PBE
# V (Å³/cell): 207.68
# DFT formation energy (meV per atom): -63
# Total DFT energy (no corrections) (eV per atom): -4.44
data_LaIn2Co
_cell_length_a 5.136
_cell_length_b 5.149
_cell_length_c 7.854
_cell_angle_alpha 90.00
_cell_angle_beta 90.00
_cell_angle_gamma 90.00
_space_group_name_H-M_alt 'I m m 2'
_space_group_IT_number 44
loop_
_space_group_symop_operation_xyz
'x,y,z'
'-x,-y,z'
'-x,y,z'
'x,-y,z'
'x+1/2,y+1/2,z+1/2'
'-x+1/2,-y+1/2,z+1/2'
'-x+1/2,y+1/2,z+1/2'
'x+1/2,-y+1/2,z+1/2'
loop_
_atom_site_label
_atom_site_fract_x
_atom_site_fract_y
_atom_site_fract_z
_atom_site_occupancy
La1 0.000 0.000 0.000 1
In1 0.000 0.000 0.469 1
In2 0.000 0.500 0.250 1
Co1 0.000 0.500 0.927 1

---

# Th2AlSi3Pd4, optimized geometry, DFT GGA-PBE
# V (Å³/cell): 183.62
# Total DFT energy (no corrections) (eV per atom): -6.49
data_Th2AlSi3Pd4
_cell_length_a 4.258
_cell_length_b 4.258
_cell_length_c 10.129
_cell_angle_alpha 90.00
_cell_angle_beta 90.00
_cell_angle_gamma 90.00
_space_group_name_H-M_alt 'P -4 m 2'
_space_group_IT_number 115
loop_
_space_group_symop_operation_xyz
'x,y,z'
'y,-x,-z'
'-x,-y,z'
'-y,x,-z'
'-x,y,z'
'-y,-x,-z'
'x,-y,z'
'y,x,-z'
loop_
_atom_site_label
_atom_site_fract_x
_atom_site_fract_y
_atom_site_fract_z
_atom_site_occupancy
Th1 0.000 0.500 0.244 1
Al1 0.000 0.000 0.500 1
Si1 0.000 0.500 0.868 1
Si2 0.500 0.500 0.500 1
Pd1 0.000 0.000 0.000 1
Pd2 0.000 0.500 0.628 1
Pd3 0.500 0.500 0.000 1

---

# Mn3SnC, optimized geometry, DFT GGA-PBE
# V (Å³/cell): 59.31
# DFT formation energy (meV per atom): -8
# Total DFT energy (no corrections) (eV per atom): -8.16
data_Mn3SnC
_cell_length_a 3.900
_cell_length_b 3.900
_cell_length_c 3.900
_cell_angle_alpha 90.00
_cell_angle_beta 90.00
_cell_angle_gamma 90.00
_space_group_name_H-M_alt 'P m -3 m'
_space_group_IT_number 221
_space_group_name_Hall '-P 4 2 3'
loop_
_atom_site_label
_atom_site_fract_x
_atom_site_fract_y
_atom_site_fract_z
_atom_site_occupancy
Mn1 0.000 0.000 0.500 1
Sn1 0.500 0.500 0.500 1
C1 0.000 0.000 0.000 1

---

# Ce2NdCoHg, optimized geometry, DFT GGA-PBE
# V (Å³/cell): 138.56
# DFT formation energy (meV per atom): -156
# Total DFT energy (no corrections) (eV per atom): -4.96
data_Ce2NdCoHg
_cell_length_a 4.945
_cell_length_b 4.945
_cell_length_c 5.666
_cell_angle_alpha 90.00
_cell_angle_beta 90.00
_cell_angle_gamma 90.00
_space_group_name_H-M_alt 'P 4/m m m'
_space_group_IT_number 123
_space_group_name_Hall '-P 4 2'
loop_
_atom_site_label
_atom_site_fract_x
_atom_site_fract_y
_atom_site_fract_z
_atom_site_occupancy
Ce1 0.000 0.500 0.000 1
Nd1 0.000 0.000 0.500 1
Co1 0.000 0.000 0.000 1
Hg1 0.500 0.500 0.500 1

---

# Hf3Al, optimized geometry, DFT GGA-PBE
# V (Å³/cell): 163.54
# DFT formation energy (meV per atom): -225
# Total DFT energy (no corrections) (eV per atom): -8.63
data_Hf3Al
_cell_length_a 6.1428
_cell_length_b 6.1428
_cell_length_c 5.0043
_cell_angle_alpha 90.00
_cell_angle_beta 90.00
_cell_angle_gamma 120.00
_space_group_name_H-M_alt 'P 63/m m c'
_space_group_IT_number 194
_space_group_name_Hall '-P 6c 2c'
loop_
_atom_site_label
_atom_site_fract_x
_atom_site_fract_y
_atom_site_fract_z
_atom_site_occupancy
Hf1 0.1701 0.3402 0.2500 1
Al1 0.3333 0.6667 0.7500 1

---

# Ce5ThSe8, optimized geometry, DFT GGA-PBE
# V (Å³/cell): 706.66
# Total DFT energy (no corrections) (eV per atom): -6.44
data_Ce5ThSe8
_cell_length_a 8.900
_cell_length_b 8.900
_cell_length_c 8.921
_cell_angle_alpha 90.00
_cell_angle_beta 90.00
_cell_angle_gamma 90.00
_space_group_name_H-M_alt 'I -4'
_space_group_IT_number 82
loop_
_space_group_symop_operation_xyz
'x,y,z'
'y,-x,-z'
'-x,-y,z'
'-y,x,-z'
'x+1/2,y+1/2,z+1/2'
'y+1/2,-x+1/2,-z+1/2'
'-x+1/2,-y+1/2,z+1/2'
'-y+1/2,x+1/2,-z+1/2'
loop_
_atom_site_label
_atom_site_fract_x
_atom_site_fract_y
_atom_site_fract_z
_atom_site_occupancy
Ce1 0.000 0.000 0.000 1
Ce2 0.124 0.750 0.373 1
Th1 0.000 0.500 0.750 1
Se1 0.075 0.673 0.046 1
Se2 0.076 0.824 0.700 1